(1)
This record from Alexandria via LeMat-Bulk describes crystalline TlGa2Se at its relaxed geometry. The functional is PBE. Values from VASP.

The structure in Quantum ESPRESSO input format:
```
&SYSTEM
  ibrav = 0, nat = 12, ntyp = 3
/
ATOMIC_SPECIES
Tl 204.38 Tl.upf
Ga 69.72 Ga.upf
Se 78.96 Se.upf
CELL_PARAMETERS angstrom
3.814 0.000 0.000
-1.907 3.303 0.000
0.000 0.000 23.880
ATOMIC_POSITIONS angstrom
Tl 0.000 0.000 0.000
Tl 0.000 2.202 15.920
Tl 1.907 1.101 7.960
Ga 0.000 0.000 5.626
Ga 0.000 0.000 10.252
Ga 0.000 2.202 2.292
Ga 0.000 2.202 21.546
Ga 1.907 1.101 13.586
Ga 1.907 1.101 18.212
Se 0.000 0.000 19.828
Se 0.000 2.202 11.867
Se 1.907 1.101 3.907
```

Summary:
SG: No. 160


(2)
This record from Alexandria via LeMat-Bulk describes crystalline TlGa2Se at its relaxed geometry. The functional is PBE. Values from VASP.

The structure in Quantum ESPRESSO input format:
```
&SYSTEM
  ibrav = 0, nat = 16, ntyp = 3
/
ATOMIC_SPECIES
Tl 204.38 Tl.upf
Ga 69.72 Ga.upf
Se 78.96 Se.upf
CELL_PARAMETERS angstrom
7.311 0.000 0.000
0.000 7.311 0.000
0.000 0.000 7.311
ATOMIC_POSITIONS angstrom
Tl 0.000 0.000 0.000
Tl 0.000 3.655 3.655
Tl 3.655 0.000 3.655
Tl 3.655 3.655 0.000
Ga 1.828 1.828 1.828
Ga 1.828 1.828 5.483
Ga 1.828 5.483 1.828
Ga 1.828 5.483 5.483
Ga 5.483 1.828 1.828
Ga 5.483 1.828 5.483
Ga 5.483 5.483 1.828
Ga 5.483 5.483 5.483
Se 0.000 0.000 3.655
Se 0.000 3.655 0.000
Se 3.655 0.000 0.000
Se 3.655 3.655 3.655
```

Summary:
SG: No. 225


Decreasing stability: (1), (2)


(1)
This record from Alexandria via LeMat-Bulk describes crystalline TlGa2Se2 at its relaxed geometry. The functional is PBE. Values from VASP.

The structure in Quantum ESPRESSO input format:
```
&SYSTEM
  ibrav = 0, nat = 10, ntyp = 3
/
ATOMIC_SPECIES
Tl 204.38 Tl.upf
Ga 69.72 Ga.upf
Se 78.96 Se.upf
CELL_PARAMETERS angstrom
4.964 0.000 0.000
0.000 4.964 0.000
0.000 0.000 11.282
ATOMIC_POSITIONS angstrom
Tl 0.000 0.000 0.000
Tl 2.482 2.482 5.641
Ga 0.000 2.482 2.820
Ga 0.000 2.482 8.461
Ga 2.482 0.000 2.820
Ga 2.482 0.000 8.461
Se 0.000 0.000 3.839
Se 0.000 0.000 7.442
Se 2.482 2.482 1.802
Se 2.482 2.482 9.480
```

Summary:
SG: No. 139


(2)
This record from Alexandria via LeMat-Bulk describes crystalline TlGa2Se2 at its relaxed geometry. The functional is PBE. Values from VASP.

The structure in Quantum ESPRESSO input format:
```
&SYSTEM
  ibrav = 0, nat = 10, ntyp = 3
/
ATOMIC_SPECIES
Tl 204.38 Tl.upf
Ga 69.72 Ga.upf
Se 78.96 Se.upf
CELL_PARAMETERS angstrom
8.406 0.000 0.000
0.000 8.406 0.000
0.000 0.000 3.784
ATOMIC_POSITIONS angstrom
Tl 0.000 0.000 0.000
Tl 4.203 4.203 0.000
Ga 0.871 3.333 0.000
Ga 3.333 7.536 0.000
Ga 5.074 0.871 0.000
Ga 7.536 5.074 0.000
Se 1.971 2.232 1.892
Se 2.232 6.435 1.892
Se 6.174 1.971 1.892
Se 6.435 6.174 1.892
```

Summary:
SG: No. 127


(3)
This record from Alexandria via LeMat-Bulk describes crystalline TlGa2Se2 at its relaxed geometry. The functional is PBE. Values from VASP.

The structure in Quantum ESPRESSO input format:
```
&SYSTEM
  ibrav = 0, nat = 10, ntyp = 3
/
ATOMIC_SPECIES
Tl 204.38 Tl.upf
Ga 69.72 Ga.upf
Se 78.96 Se.upf
CELL_PARAMETERS angstrom
8.144 0.000 0.000
0.000 8.144 0.000
0.000 0.000 3.643
ATOMIC_POSITIONS angstrom
Tl 0.000 0.000 0.000
Tl 4.072 4.072 0.000
Ga 1.114 2.959 1.822
Ga 2.959 7.031 1.822
Ga 5.186 1.114 1.822
Ga 7.031 5.186 1.822
Se 1.190 5.263 0.000
Se 2.882 1.190 0.000
Se 5.263 6.954 0.000
Se 6.954 2.882 0.000
```

Summary:
SG: No. 127


Decreasing stability: (2), (1), (3)


(1)
This record from Alexandria via LeMat-Bulk describes crystalline TlGaSe3 at its relaxed geometry. The functional is PBE. Values from VASP.

The structure in Quantum ESPRESSO input format:
```
&SYSTEM
  ibrav = 0, nat = 5, ntyp = 3
/
ATOMIC_SPECIES
Tl 204.38 Tl.upf
Ga 69.72 Ga.upf
Se 78.96 Se.upf
CELL_PARAMETERS angstrom
5.096 0.000 0.000
0.000 5.096 0.000
0.000 0.000 5.096
ATOMIC_POSITIONS angstrom
Tl 0.000 0.000 0.000
Ga 2.548 2.548 2.548
Se 0.000 2.548 2.548
Se 2.548 0.000 2.548
Se 2.548 2.548 0.000
```

Summary:
SG: No. 221


(2)
This record from Alexandria via LeMat-Bulk describes crystalline TlGaSe3 at its relaxed geometry. The functional is PBE. Values from VASP.

The structure in Quantum ESPRESSO input format:
```
&SYSTEM
  ibrav = 0, nat = 5, ntyp = 3
/
ATOMIC_SPECIES
Tl 204.38 Tl.upf
Ga 69.72 Ga.upf
Se 78.96 Se.upf
CELL_PARAMETERS angstrom
5.426 0.000 0.000
0.000 5.426 0.000
0.000 0.000 5.426
ATOMIC_POSITIONS angstrom
Tl 0.000 0.000 0.000
Ga 2.713 2.713 2.713
Se 0.000 0.000 2.713
Se 0.000 2.713 0.000
Se 2.713 0.000 0.000
```

Summary:
SG: No. 221


(3)
This record from Alexandria via LeMat-Bulk describes crystalline TlGaSe3 at its relaxed geometry. The functional is PBE. Values from VASP.

The structure in Quantum ESPRESSO input format:
```
&SYSTEM
  ibrav = 0, nat = 10, ntyp = 3
/
ATOMIC_SPECIES
Tl 204.38 Tl.upf
Ga 69.72 Ga.upf
Se 78.96 Se.upf
CELL_PARAMETERS angstrom
2.717 -9.152 0.000
2.717 9.152 0.000
0.000 0.000 6.606
ATOMIC_POSITIONS angstrom
Tl 2.717 6.037 3.303
Tl 2.717 -6.037 0.000
Ga 2.717 1.062 2.597
Ga 2.717 -1.062 5.900
Se 1.295 2.912 3.402
Se 1.295 -2.912 0.099
Se 2.717 1.149 0.182
Se 2.717 -1.149 3.485
Se 4.139 2.912 3.402
Se 4.139 -2.912 0.099
```

Summary:
SG: No. 36


Decreasing stability: (3), (1), (2)


(1)
This record from Alexandria via LeMat-Bulk describes crystalline VGa3Se at its relaxed geometry. The functional is PBE. Values from VASP.

The structure in Quantum ESPRESSO input format:
```
&SYSTEM
  ibrav = 0, nat = 5, ntyp = 3
/
ATOMIC_SPECIES
V 50.94 V.upf
Ga 69.72 Ga.upf
Se 78.96 Se.upf
CELL_PARAMETERS angstrom
4.988 0.000 0.000
0.000 4.988 0.000
0.000 0.000 4.988
ATOMIC_POSITIONS angstrom
V 0.000 0.000 0.000
Ga 0.000 0.000 2.494
Ga 0.000 2.494 0.000
Ga 2.494 0.000 0.000
Se 2.494 2.494 2.494
```

Summary:
SG: No. 221


(2)
This record from Alexandria via LeMat-Bulk describes crystalline VGa3Se at its relaxed geometry. The functional is PBE. Values from VASP.

The structure in Quantum ESPRESSO input format:
```
&SYSTEM
  ibrav = 0, nat = 5, ntyp = 3
/
ATOMIC_SPECIES
V 50.94 V.upf
Ga 69.72 Ga.upf
Se 78.96 Se.upf
CELL_PARAMETERS angstrom
5.044 0.000 0.000
0.000 5.044 0.000
0.000 0.000 5.044
ATOMIC_POSITIONS angstrom
V 0.000 0.000 0.000
Ga 0.000 2.522 2.522
Ga 2.522 0.000 2.522
Ga 2.522 2.522 0.000
Se 2.522 2.522 2.522
```

Summary:
SG: No. 221


Decreasing stability: (1), (2)


(1)
This record from Alexandria via LeMat-Bulk describes crystalline V2GaSe at its relaxed geometry. The functional is PBE. Values from VASP.

The structure in Quantum ESPRESSO input format:
```
&SYSTEM
  ibrav = 0, nat = 16, ntyp = 3
/
ATOMIC_SPECIES
V 50.94 V.upf
Ga 69.72 Ga.upf
Se 78.96 Se.upf
CELL_PARAMETERS angstrom
6.790 0.000 0.000
0.000 6.790 0.000
0.000 0.000 5.627
ATOMIC_POSITIONS angstrom
V 1.515 1.698 0.703
V 1.698 4.910 2.110
V 1.698 5.275 4.923
V 1.880 1.698 3.517
V 4.910 5.093 3.517
V 5.093 1.515 4.923
V 5.093 1.880 2.110
V 5.275 5.093 0.703
Ga 0.000 0.000 2.813
Ga 0.000 3.395 4.220
Ga 3.395 0.000 1.407
Ga 3.395 3.395 0.000
Se 0.000 0.000 0.000
Se 0.000 3.395 1.407
Se 3.395 0.000 4.220
Se 3.395 3.395 2.813
```

Summary:
SG: No. 122


(2)
This record from Alexandria via LeMat-Bulk describes crystalline V2GaSe at its relaxed geometry. The functional is PBE. Values from VASP.

The structure in Quantum ESPRESSO input format:
```
&SYSTEM
  ibrav = 0, nat = 16, ntyp = 3
/
ATOMIC_SPECIES
V 50.94 V.upf
Ga 69.72 Ga.upf
Se 78.96 Se.upf
CELL_PARAMETERS angstrom
6.157 0.000 0.000
0.000 6.157 0.000
0.000 0.000 6.157
ATOMIC_POSITIONS angstrom
V 1.539 1.539 1.539
V 1.539 1.539 4.618
V 1.539 4.618 1.539
V 1.539 4.618 4.618
V 4.618 1.539 1.539
V 4.618 1.539 4.618
V 4.618 4.618 1.539
V 4.618 4.618 4.618
Ga 0.000 0.000 0.000
Ga 0.000 3.078 3.078
Ga 3.078 0.000 3.078
Ga 3.078 3.078 0.000
Se 0.000 0.000 3.078
Se 0.000 3.078 0.000
Se 3.078 0.000 0.000
Se 3.078 3.078 3.078
```

Summary:
SG: No. 225


Decreasing stability: (2), (1)


(1)
This record from Alexandria via LeMat-Bulk describes crystalline Ga3WSe at its relaxed geometry. The functional is PBE. Values from VASP.

The structure in Quantum ESPRESSO input format:
```
&SYSTEM
  ibrav = 0, nat = 5, ntyp = 3
/
ATOMIC_SPECIES
Ga 69.72 Ga.upf
W 183.84 W.upf
Se 78.96 Se.upf
CELL_PARAMETERS angstrom
5.015 0.000 0.000
0.000 5.015 0.000
0.000 0.000 5.015
ATOMIC_POSITIONS angstrom
Ga 0.000 0.000 2.507
Ga 0.000 2.507 0.000
Ga 2.507 0.000 0.000
W 0.000 0.000 0.000
Se 2.507 2.507 2.507
```

Summary:
SG: No. 221


(2)
This record from Alexandria via LeMat-Bulk describes crystalline Ga3WSe at its relaxed geometry. The functional is PBE. Values from VASP.

The structure in Quantum ESPRESSO input format:
```
&SYSTEM
  ibrav = 0, nat = 5, ntyp = 3
/
ATOMIC_SPECIES
Ga 69.72 Ga.upf
W 183.84 W.upf
Se 78.96 Se.upf
CELL_PARAMETERS angstrom
4.796 0.000 0.000
0.000 4.796 0.000
0.000 0.000 4.796
ATOMIC_POSITIONS angstrom
Ga 0.000 0.000 2.398
Ga 0.000 2.398 0.000
Ga 2.398 0.000 0.000
W 2.398 2.398 2.398
Se 0.000 0.000 0.000
```

Summary:
SG: No. 221


Decreasing stability: (1), (2)